DFT (GGA-PBE) results for an optimized crystal structure of Ca2CrSe.

Calculated values
The value obtained for the density is 3.18 g/cm³. The uncorrected formation energy comes out at -27.4 kJ per mole of atoms. The size of the total moment is 1.042 μB/atom.

Lattice parameters (Å, degrees): 4.209 4.209 6.216 90.00 90.00 90.00
Space group P4mm (No. 99)
Symmetry-distinct sites (fractional):
1 Ca 0.000 0.000 0.000 [1 per cell]
2 Ca 0.500 0.500 0.379 [1 per cell]
3 Cr 0.000 0.000 0.504 [1 per cell]
4 Se 0.500 0.500 0.884 [1 per cell]